[1]
This record from the Alexandria database describes a geometry-optimized ThZnAu structure. The functional is GGA-PBE.

a b c (Å): 4.778 4.778 4.778
angles (deg): 60.00 60.00 60.00
Fractional coordinates of all 3 atoms:
Zn1 0.000 0.000 0.000
Th1 0.500 0.500 0.500
Au1 0.250 0.250 0.250

Values from the calculation:
ΔE_f: -1.15 eV per formula unit
Crystal system: cubic
E_tot: -4.38 eV per atom



[2]
This record from the Alexandria database describes a geometry-optimized TmZr2Sc9 structure. The functional is GGA-PBE.

a b c (Å): 4.600 4.600 13.864
angles (deg): 90.00 90.00 90.00
Fractional coordinates of all 12 atoms:
Sc1 0.500 0.500 0.664
Sc2 0.500 0.000 0.176
Sc3 0.000 0.500 0.500
Zr1 0.000 0.000 0.334
Sc4 0.000 0.500 0.824
Sc5 0.000 0.500 0.176
Zr2 0.000 0.000 0.666
Tm1 0.000 0.000 0.000
Sc6 0.500 0.500 0.000
Sc7 0.500 0.000 0.500
Sc8 0.500 0.500 0.336
Sc9 0.500 0.000 0.824

Values from the calculation:
ΔE_f: 0.42 eV per formula unit
Crystal system: tetragonal
E_tot: -6.51 eV per atom



[3]
This record from the Alexandria database describes a geometry-optimized Y4Zn5Au6 structure. The functional is GGA-PBE.

a b c (Å): 3.943 10.948 14.962
angles (deg): 90.00 90.00 100.37
Fractional coordinates of all 30 atoms:
Zn1 0.540 0.080 0.169
Au1 0.253 0.507 0.770
Zn2 0.168 0.336 0.644
Au2 0.544 0.088 0.350
Zn3 0.334 0.668 0.281
Zn4 0.460 0.920 0.669
Zn5 0.364 0.728 0.966
Au3 0.585 0.171 0.632
Au4 0.582 0.164 0.930
Y1 0.856 0.712 0.790
Zn6 0.690 0.381 0.113
Zn7 0.666 0.332 0.781
Au5 0.786 0.571 0.985
Y2 0.022 0.043 0.508
Y3 0.810 0.620 0.444
Zn8 0.310 0.619 0.613
Y4 0.144 0.288 0.290
Au6 0.214 0.429 0.485
Zn9 0.832 0.664 0.144
Au7 0.896 0.792 0.595
Au8 0.747 0.493 0.270
Au9 0.415 0.829 0.132
Zn10 0.636 0.272 0.466
Y5 0.051 0.101 0.778
Au10 0.104 0.208 0.095
Y6 0.978 0.957 0.008
Au11 0.418 0.836 0.430
Au12 0.456 0.912 0.850
Y7 0.190 0.380 0.944
Y8 0.949 0.899 0.278

Values from the calculation:
ΔE_f: -8.61 eV per formula unit
Crystal system: orthorhombic
E_tot: -4.03 eV per atom



[4]
This record from the Alexandria database describes a geometry-optimized NaSnTe2Se6 structure. The functional is GGA-PBE.

a b c (Å): 9.010 9.532 9.532
angles (deg): 74.21 64.46 64.46
Fractional coordinates of all 20 atoms:
Na1 0.750 0.037 0.963
Se1 0.541 0.665 0.574
Se2 0.604 0.742 0.062
Se3 0.862 0.272 0.021
Se4 0.104 0.062 0.742
Te1 0.244 0.468 0.136
Se5 0.362 0.021 0.272
Se6 0.459 0.335 0.426
Se7 0.041 0.574 0.665
Se8 0.396 0.258 0.938
Se9 0.138 0.728 0.979
Na2 0.250 0.963 0.037
Se10 0.959 0.426 0.335
Te2 0.744 0.136 0.468
Se11 0.638 0.979 0.728
Se12 0.896 0.938 0.258
Te3 0.756 0.532 0.864
Te4 0.256 0.864 0.532
Sn1 0.750 0.720 0.280
Sn2 0.250 0.280 0.720

Values from the calculation:
Crystal system: monoclinic
E_tot: -3.42 eV per atom
ΔE_f (raw): -0.169 eV per atom



[5]
This record from the Alexandria database describes a geometry-optimized KCuBS2 structure. The functional is GGA-PBE.

a b c (Å): 5.519 4.962 5.519
angles (deg): 90.00 90.00 90.00
Fractional coordinates of all 5 atoms:
K1 0.000 0.000 0.000
S1 0.500 0.000 0.000
S2 0.000 0.000 0.500
B1 0.000 0.500 0.000
Cu1 0.500 0.500 0.500

Values from the calculation:
Crystal system: tetragonal
E_tot: -2.01 eV per atom
ΔE_f (raw): 2.013 eV per atom



[6]
This record from the Alexandria database describes a geometry-optimized TiNi2Sb2 structure. The functional is GGA-PBE.

a b c (Å): 6.832 6.832 3.610
angles (deg): 90.00 90.00 90.00
Fractional coordinates of all 10 atoms:
Sb1 0.678 0.822 0.500
Ni1 0.376 0.876 0.000
Sb2 0.822 0.322 0.500
Sb3 0.322 0.178 0.500
Ti1 0.500 0.500 0.000
Ni2 0.124 0.376 0.000
Ni3 0.624 0.124 0.000
Ni4 0.876 0.624 0.000
Ti2 0.000 0.000 0.000
Sb4 0.178 0.678 0.500

Values from the calculation:
Crystal system: tetragonal
E_tot: -5.70 eV per atom
ΔE_f (raw): -0.164 eV per atom



[7]
This record from the Alexandria database describes a geometry-optimized K2Cd4P structure. The functional is GGA-PBE.

a b c (Å): 5.364 5.364 10.051
angles (deg): 74.52 74.52 90.00
Fractional coordinates of all 7 atoms:
Cd1 0.150 0.150 0.700
Cd2 0.850 0.850 0.300
Cd3 0.000 0.500 0.000
P1 0.000 0.000 0.000
K1 0.342 0.342 0.315
Cd4 0.500 0.000 0.000
K2 0.658 0.658 0.685

Values from the calculation:
ΔE_f: 0.83 eV per formula unit
Crystal system: tetragonal
E_tot: -1.49 eV per atom



[8]
This record from the Alexandria database describes a geometry-optimized NdMg4Ni4 structure. The functional is GGA-PBE.

a b c (Å): 5.096 8.281 8.281
angles (deg): 90.00 90.00 90.00
Fractional coordinates of all 18 atoms:
Ni1 0.608 0.203 0.652
Mg1 0.110 0.155 0.607
Ni2 0.892 0.703 0.152
Ni3 0.108 0.848 0.703
Mg2 0.890 0.393 0.155
Ni4 0.392 0.348 0.203
Ni5 0.608 0.797 0.348
Nd1 0.500 0.500 0.500
Mg3 0.110 0.845 0.393
Ni6 0.892 0.297 0.848
Mg4 0.610 0.893 0.655
Nd2 0.000 0.000 0.000
Mg5 0.890 0.607 0.845
Mg6 0.390 0.655 0.107
Mg7 0.610 0.107 0.345
Ni7 0.392 0.652 0.797
Mg8 0.390 0.345 0.893
Ni8 0.108 0.152 0.297

Values from the calculation:
ΔE_f: 0.23 eV per formula unit
Crystal system: tetragonal
E_tot: -3.78 eV per atom



Question: Which formula does entry 3 have?
Answer: Y4Zn5Au6